DFT (PBE with a Hubbard U) results for a relaxed structure of FeAgB2O.

Output
E_tot	-4.2789	eV per atom
spin magnetization	2.48	μB per formula unit
mass density	5.47	g cm⁻³
crystal system	tetragonal
calculated volume	61	Å³/cell

Lattice parameters (Å, degrees): 4.0392 4.0392 3.7434 90.00 90.00 90.00
Space group P4/mmm (No. 123)
One atom of each set of equivalent atoms:
Fe1 0.0000 0.0000 0.0000 (multiplicity 1)
Ag1 0.5000 0.5000 0.5000 (multiplicity 1)
B1 0.0000 0.5000 0.0000 (multiplicity 2)
O1 0.0000 0.0000 0.5000 (multiplicity 1)